[1]
Computed, not measured: a geometry-optimized Dy3Mg3CdAg2 structure at the PBE level of DFT.

Computed properties:
space-group type = P-62m
mass density = 6.768 Mg/m³
raw total energy = -3.033 eV/atom
total moment = 0.002 μB/atom

Lattice parameters (Å, degrees): 7.642 7.642 4.311 90.00 90.00 120.00
Sites, in units of the cell vectors:
Dy  0.000  0.580  0.000
Dy  0.420  0.420  0.000
Dy  0.580  0.000  0.000
Mg  0.000  0.250  0.500
Mg  0.250  0.000  0.500
Mg  0.750  0.750  0.500
Cd  0.000  0.000  0.000
Ag  0.333  0.667  0.500
Ag  0.667  0.333  0.500

[2]
Computed, not measured: a geometry-optimized Nd2DyMg3Cd2Ag structure at the PBE level of DFT.

Computed properties:
space-group type = Amm2
mass density = 6.125 Mg/m³
raw total energy = -2.856 eV/atom
total moment = 0.056 μB/atom

Lattice parameters (Å, degrees): 4.303 7.889 7.889 119.87 90.00 90.00
Sites, in units of the cell vectors:
Nd  0.000  0.204  0.796
Nd  0.000  0.796  0.204
Dy  0.000  0.609  0.609
Mg  0.500  0.206  0.445
Mg  0.500  0.445  0.206
Mg  0.500  0.962  0.962
Cd  0.500  0.539  0.864
Cd  0.500  0.864  0.539
Ag  0.000  0.208  0.208

[3]
Computed, not measured: a geometry-optimized Pr2DyMg3Cd2Ag structure at the PBE level of DFT.

Computed properties:
space-group type = Amm2
mass density = 5.995 Mg/m³
raw total energy = -2.857 eV/atom
total moment = 0.053 μB/atom

Lattice parameters (Å, degrees): 4.330 7.920 7.920 119.93 90.00 90.00
Sites, in units of the cell vectors:
Pr  0.000  0.204  0.796
Pr  0.000  0.796  0.204
Dy  0.000  0.610  0.610
Mg  0.500  0.207  0.445
Mg  0.500  0.445  0.207
Mg  0.500  0.963  0.963
Cd  0.500  0.540  0.863
Cd  0.500  0.863  0.540
Ag  0.000  0.210  0.210

[4]
Computed, not measured: a geometry-optimized DyTm2Mg3Cd2Ag structure at the PBE level of DFT.

Computed properties:
space-group type = Amm2
mass density = 6.942 Mg/m³
raw total energy = -2.783 eV/atom
total moment = 0.002 μB/atom

Lattice parameters (Å, degrees): 4.171 7.753 7.753 120.20 90.00 90.00
Sites, in units of the cell vectors:
Dy  0.000  0.000  0.000
Tm  0.000  0.408  0.814
Tm  0.000  0.814  0.408
Mg  0.500  0.164  0.408
Mg  0.500  0.408  0.164
Mg  0.500  0.653  0.653
Cd  0.500  0.075  0.740
Cd  0.500  0.740  0.075
Ag  0.000  0.410  0.410

[5]
Computed, not measured: a geometry-optimized Dy2TmMg3Cd2Ag structure at the PBE level of DFT.

Computed properties:
space-group type = Amm2
mass density = 6.827 Mg/m³
raw total energy = -2.802 eV/atom
total moment = 0.000 μB/atom

Lattice parameters (Å, degrees): 4.188 7.760 7.760 119.82 90.00 90.00
Sites, in units of the cell vectors:
Dy  0.000  0.204  0.796
Dy  0.000  0.796  0.204
Tm  0.000  0.610  0.610
Mg  0.500  0.204  0.448
Mg  0.500  0.448  0.204
Mg  0.500  0.960  0.960
Cd  0.500  0.538  0.869
Cd  0.500  0.869  0.538
Ag  0.000  0.206  0.206

[6]
Computed, not measured: a geometry-optimized NdDyCd2Ag4 structure at the PBE level of DFT.

Computed properties:
space-group type = P4/mmm
mass density = 9.071 Mg/m³
raw total energy = -3.094 eV/atom
calculated formation energy = -0.2874 eV/atom
total moment = 0.003 μB/atom

Lattice parameters (Å, degrees): 4.997 4.997 7.060 90.00 90.00 90.00
Sites, in units of the cell vectors:
Nd  0.000  0.000  0.000
Dy  0.500  0.500  0.500
Cd  0.000  0.000  0.500
Cd  0.500  0.500  0.000
Ag  0.000  0.500  0.260
Ag  0.000  0.500  0.740
Ag  0.500  0.000  0.260
Ag  0.500  0.000  0.740

[7]
Computed, not measured: a geometry-optimized Pr2DyCd3Ag3 structure at the PBE level of DFT.

Computed properties:
space-group type = Amm2
mass density = 8.312 Mg/m³
raw total energy = -3.144 eV/atom
calculated formation energy = -0.3315 eV/atom
total moment = 0.001 μB/atom

Lattice parameters (Å, degrees): 4.006 7.970 7.970 119.83 90.00 90.00
Sites, in units of the cell vectors:
Pr  0.000  0.203  0.797
Pr  0.000  0.797  0.203
Dy  0.000  0.391  0.391
Cd  0.500  0.059  0.059
Cd  0.500  0.537  0.794
Cd  0.500  0.794  0.537
Ag  0.000  0.794  0.794
Ag  0.500  0.137  0.462
Ag  0.500  0.462  0.137

[8]
Computed, not measured: a geometry-optimized Tb2DyCd3Ag3 structure at the PBE level of DFT.

Computed properties:
space-group type = Amm2
mass density = 9.044 Mg/m³
raw total energy = -3.119 eV/atom
calculated formation energy = -0.3388 eV/atom
total moment = 0.001 μB/atom

Lattice parameters (Å, degrees): 3.912 7.863 7.863 119.97 90.00 90.00
Sites, in units of the cell vectors:
Tb  0.000  0.202  0.798
Tb  0.000  0.798  0.202
Dy  0.000  0.607  0.607
Cd  0.500  0.203  0.465
Cd  0.500  0.465  0.203
Cd  0.500  0.939  0.939
Ag  0.000  0.203  0.203
Ag  0.500  0.536  0.868
Ag  0.500  0.868  0.536

[9]
Computed, not measured: a geometry-optimized DyTmCd2Ag4 structure at the PBE level of DFT.

Computed properties:
space-group type = P4/mmm
mass density = 9.736 Mg/m³
raw total energy = -3.063 eV/atom
calculated formation energy = -0.2920 eV/atom
total moment = 0.001 μB/atom

Lattice parameters (Å, degrees): 4.919 4.919 6.961 90.00 90.00 90.00
Sites, in units of the cell vectors:
Dy  0.000  0.000  0.000
Tm  0.500  0.500  0.500
Cd  0.000  0.000  0.500
Cd  0.500  0.500  0.000
Ag  0.000  0.500  0.254
Ag  0.000  0.500  0.746
Ag  0.500  0.000  0.254
Ag  0.500  0.000  0.746

[10]
Computed, not measured: a geometry-optimized DyYCd2Ag4 structure at the PBE level of DFT.

Computed properties:
space-group type = P4/mmm
mass density = 8.823 Mg/m³
raw total energy = -3.320 eV/atom
calculated formation energy = -0.3007 eV/atom
total moment = 0.002 μB/atom

Lattice parameters (Å, degrees): 4.944 4.944 6.990 90.00 90.00 90.00
Sites, in units of the cell vectors:
Dy  0.000  0.000  0.000
Y  0.500  0.500  0.500
Cd  0.000  0.000  0.500
Cd  0.500  0.500  0.000
Ag  0.000  0.500  0.250
Ag  0.000  0.500  0.750
Ag  0.500  0.000  0.250
Ag  0.500  0.000  0.750

[11]
Computed, not measured: a geometry-optimized Dy2YCd3Ag3 structure at the PBE level of DFT.

Computed properties:
space-group type = Amm2
mass density = 8.553 Mg/m³
raw total energy = -3.323 eV/atom
calculated formation energy = -0.3420 eV/atom
total moment = 0.001 μB/atom

Lattice parameters (Å, degrees): 3.912 7.852 7.852 120.10 90.00 90.00
Sites, in units of the cell vectors:
Dy  0.000  0.202  0.798
Dy  0.000  0.798  0.202
Y  0.000  0.606  0.606
Cd  0.500  0.202  0.465
Cd  0.500  0.465  0.202
Cd  0.500  0.938  0.938
Ag  0.000  0.201  0.201
Ag  0.500  0.535  0.870
Ag  0.500  0.870  0.535

[12]
Computed, not measured: a geometry-optimized ErCdAg structure at the PBE level of DFT.

Computed properties:
space-group type = F-43m
mass density = 7.894 Mg/m³
raw total energy = -2.588 eV/atom
calculated formation energy = 0.1726 eV/atom
total moment = 0.000 μB/atom

Lattice parameters (Å, degrees): 6.883 6.883 6.883 90.00 90.00 90.00
Sites, in units of the cell vectors:
Er  0.000  0.000  0.000
Er  0.000  0.500  0.500
Er  0.500  0.000  0.500
Er  0.500  0.500  0.000
Cd  0.250  0.250  0.250
Cd  0.250  0.750  0.750
Cd  0.750  0.250  0.750
Cd  0.750  0.750  0.250
Ag  0.250  0.250  0.750
Ag  0.250  0.750  0.250
Ag  0.750  0.250  0.250
Ag  0.750  0.750  0.750

[13]
Computed, not measured: a geometry-optimized Er3Cd3GaAg2 structure at the PBE level of DFT.

Computed properties:
space-group type = P-62m
mass density = 9.218 Mg/m³
raw total energy = -3.144 eV/atom
total moment = 0.001 μB/atom

Lattice parameters (Å, degrees): 7.505 7.505 4.153 90.00 90.00 120.00
Sites, in units of the cell vectors:
Er  0.000  0.591  0.000
Er  0.409  0.409  0.000
Er  0.591  0.000  0.000
Cd  0.000  0.249  0.500
Cd  0.249  0.000  0.500
Cd  0.751  0.751  0.500
Ga  0.000  0.000  0.000
Ag  0.333  0.667  0.500
Ag  0.667  0.333  0.500

[14]
Computed, not measured: a geometry-optimized Gd2ErCd3Ag3 structure at the PBE level of DFT.

Computed properties:
space-group type = Amm2
mass density = 9.042 Mg/m³
raw total energy = -3.118 eV/atom
calculated formation energy = -0.3368 eV/atom
total moment = 0.000 μB/atom

Lattice parameters (Å, degrees): 3.925 7.852 7.852 119.86 90.00 90.00
Sites, in units of the cell vectors:
Gd  0.000  0.203  0.797
Gd  0.000  0.797  0.203
Er  0.000  0.608  0.608
Cd  0.500  0.204  0.465
Cd  0.500  0.465  0.204
Cd  0.500  0.939  0.939
Ag  0.000  0.204  0.204
Ag  0.500  0.537  0.867
Ag  0.500  0.867  0.537

[15]
Computed, not measured: a geometry-optimized Ho2ErCd3Ag3 structure at the PBE level of DFT.

Computed properties:
space-group type = Amm2
mass density = 9.331 Mg/m³
raw total energy = -3.096 eV/atom
calculated formation energy = -0.3316 eV/atom
total moment = 0.002 μB/atom

Lattice parameters (Å, degrees): 3.886 7.823 7.823 119.96 90.00 90.00
Sites, in units of the cell vectors:
Ho  0.000  0.202  0.798
Ho  0.000  0.798  0.202
Er  0.000  0.607  0.607
Cd  0.500  0.202  0.466
Cd  0.500  0.466  0.202
Cd  0.500  0.938  0.938
Ag  0.000  0.203  0.203
Ag  0.500  0.536  0.868
Ag  0.500  0.868  0.536

[16]
Computed, not measured: a geometry-optimized HoErCd2Ag4 structure at the PBE level of DFT.

Computed properties:
space-group type = P4/mmm
mass density = 9.745 Mg/m³
raw total energy = -3.072 eV/atom
calculated formation energy = -0.2936 eV/atom
total moment = 0.001 μB/atom

Lattice parameters (Å, degrees): 4.921 4.921 6.957 90.00 90.00 90.00
Sites, in units of the cell vectors:
Ho  0.000  0.000  0.000
Er  0.500  0.500  0.500
Cd  0.000  0.000  0.500
Cd  0.500  0.500  0.000
Ag  0.000  0.500  0.250
Ag  0.000  0.500  0.750
Ag  0.500  0.000  0.250
Ag  0.500  0.000  0.750

[17]
Computed, not measured: a geometry-optimized Er3Cd3InAg2 structure at the PBE level of DFT.

Computed properties:
space-group type = P-62m
mass density = 9.298 Mg/m³
raw total energy = -3.089 eV/atom
total moment = 0.000 μB/atom

Lattice parameters (Å, degrees): 8.024 8.024 3.746 90.00 90.00 120.00
Sites, in units of the cell vectors:
Er  0.000  0.400  0.000
Er  0.400  0.000  0.000
Er  0.600  0.600  0.000
Cd  0.000  0.718  0.500
Cd  0.282  0.282  0.500
Cd  0.718  0.000  0.500
In  0.000  0.000  0.000
Ag  0.333  0.667  0.500
Ag  0.667  0.333  0.500

[18]
Computed, not measured: a geometry-optimized PrErCd2Ag4 structure at the PBE level of DFT.

Computed properties:
space-group type = P4/mmm
mass density = 9.079 Mg/m³
raw total energy = -3.083 eV/atom
calculated formation energy = -0.2800 eV/atom
total moment = 0.002 μB/atom

Lattice parameters (Å, degrees): 4.998 4.998 7.062 90.00 90.00 90.00
Sites, in units of the cell vectors:
Pr  0.000  0.000  0.000
Er  0.500  0.500  0.500
Cd  0.000  0.000  0.500
Cd  0.500  0.500  0.000
Ag  0.000  0.500  0.265
Ag  0.000  0.500  0.735
Ag  0.500  0.000  0.265
Ag  0.500  0.000  0.735

[19]
Computed, not measured: a geometry-optimized TbErCd2Ag4 structure at the PBE level of DFT.

Computed properties:
space-group type = P4/mmm
mass density = 9.604 Mg/m³
raw total energy = -3.080 eV/atom
calculated formation energy = -0.2945 eV/atom
total moment = 0.001 μB/atom

Lattice parameters (Å, degrees): 4.935 4.935 6.976 90.00 90.00 90.00
Sites, in units of the cell vectors:
Tb  0.000  0.000  0.000
Er  0.500  0.500  0.500
Cd  0.000  0.000  0.500
Cd  0.500  0.500  0.000
Ag  0.000  0.500  0.254
Ag  0.000  0.500  0.746
Ag  0.500  0.000  0.254
Ag  0.500  0.000  0.746

[20]
Computed, not measured: a geometry-optimized ErTmCd2Ag4 structure at the PBE level of DFT.

Computed properties:
space-group type = P4/mmm
mass density = 9.862 Mg/m³
raw total energy = -3.056 eV/atom
calculated formation energy = -0.2906 eV/atom
total moment = 0.001 μB/atom

Lattice parameters (Å, degrees): 4.908 4.908 6.939 90.00 90.00 90.00
Sites, in units of the cell vectors:
Er  0.000  0.000  0.000
Tm  0.500  0.500  0.500
Cd  0.000  0.000  0.500
Cd  0.500  0.500  0.000
Ag  0.000  0.500  0.250
Ag  0.000  0.500  0.750
Ag  0.500  0.000  0.250
Ag  0.500  0.000  0.750

[21]
Computed, not measured: a geometry-optimized ErZrCd2Ag4 structure at the PBE level of DFT.

Computed properties:
space-group type = P4/mmm
mass density = 9.423 Mg/m³
raw total energy = -3.472 eV/atom
calculated formation energy = -0.1973 eV/atom
total moment = 0.001 μB/atom

Lattice parameters (Å, degrees): 4.854 4.854 6.843 90.00 90.00 90.00
Sites, in units of the cell vectors:
Er  0.000  0.000  0.000
Zr  0.500  0.500  0.500
Cd  0.000  0.000  0.500
Cd  0.500  0.500  0.000
Ag  0.000  0.500  0.260
Ag  0.000  0.500  0.740
Ag  0.500  0.000  0.260
Ag  0.500  0.000  0.740

[22]
Computed, not measured: a geometry-optimized CdAgF6 structure at the PBE level of DFT.

Computed properties:
space-group type = P-1
mass density = 5.539 Mg/m³
raw total energy = -3.110 eV/atom

Lattice parameters (Å, degrees): 4.865 4.929 5.497 65.01 64.08 61.41
Sites, in units of the cell vectors:
Cd  0.000  0.000  0.000
Ag  0.500  0.500  0.500
F  0.069  0.460  0.743
F  0.274  0.929  0.259
F  0.466  0.725  0.741
F  0.534  0.275  0.259
F  0.726  0.071  0.741
F  0.931  0.540  0.257